The following is a PBE calculation of a relaxed structure of Rb2Ge2Au3, from the Alexandria database.

a = 7.2207 Å, b = 7.2207 Å, c = 16.9910 Å
α = 90.00°, β = 90.00°, γ = 120.00°
Space group R-3m (No. 166, hexagonal axes)
Asymmetric unit:
Rb 0.0000 0.0000 0.0000
Rb 0.0000 0.0000 0.5000
Ge 0.0000 0.0000 0.2486
Au 0.0000 0.5000 0.5000

Properties
- E above lowest polymorph (meV/atom) = 201.1
- E (eV for the cell shown) = -64.8
- DFT formation energy (eV/atom) = -0.0842